Entry from Alexandria: an optimized crystal structure of TiOsN2O (PBE-GGA).

Results
**E**: -7.551 eV/atom

abc: 3.9869 3.9869 3.6469
angles: 90.00 90.00 90.00
Closest atoms and distances in Å follow each position.
Atoms (fractional coordinates):
O1 0.0000 0.0000 0.5000  2 Ti 1.82
N1 0.0000 0.5000 0.0000  2 Ti 1.99
N2 0.5000 0.0000 0.0000  2 Ti 1.99
Ti1 0.0000 0.0000 0.0000  2 O 1.82, 4 N 1.99
Os1 0.5000 0.5000 0.5000  8 N 2.70, 4 O 2.82

Entry from Alexandria: an optimized crystal structure of Dy6ErTm3Sc2 (PBE-GGA).

Results
**Calculated formation energy**: 0.85 kcal/mol of atoms

abc: 6.0335 6.0335 11.4850
angles: 95.02 95.02 119.94
Closest atoms and distances in Å follow each position.
Atoms (fractional coordinates):
Dy1 0.9176 0.5820 0.7543  2 Sc 3.42-3.43, 1 Er 3.44, 6 Dy 3.47-3.51, 3 Tm 3.50-3.52
Er1 0.0000 0.0000 0.0000  6 Dy 3.44, 6 Sc 3.48-3.49
Dy2 0.4180 0.0824 0.2457  2 Sc 3.42-3.43, 1 Er 3.44, 6 Dy 3.47-3.51, 3 Tm 3.50-3.52
Tm1 0.5000 0.5000 0.5000  6 Tm 3.48-3.49, 6 Dy 3.50-3.51
Tm2 0.8331 0.1669 0.5000  6 Tm 3.48-3.49, 6 Dy 3.50-3.52
Tm3 0.1669 0.8331 0.5000  6 Tm 3.48-3.49, 6 Dy 3.50-3.52
Dy3 0.5820 0.9176 0.7543  2 Sc 3.42-3.43, 1 Er 3.44, 6 Dy 3.47-3.51, 3 Tm 3.50-3.52
Dy4 0.7469 0.7469 0.2457  2 Sc 3.43, 1 Er 3.44, 6 Dy 3.47-3.51, 3 Tm 3.50-3.51
Sc1 0.6666 0.3334 0.0000  6 Dy 3.42-3.43, 3 Sc 3.48-3.49, 3 Er 3.48-3.49
Dy5 0.2531 0.2531 0.7543  2 Sc 3.43, 1 Er 3.44, 6 Dy 3.47-3.51, 3 Tm 3.50-3.51
Dy6 0.0824 0.4180 0.2457  2 Sc 3.42-3.43, 1 Er 3.44, 6 Dy 3.47-3.51, 3 Tm 3.50-3.52
Sc2 0.3334 0.6666 0.0000  6 Dy 3.42-3.43, 3 Sc 3.48-3.49, 3 Er 3.48-3.49

Entry from Alexandria: an optimized crystal structure of Tb3Pu2UP6 (PBE-GGA).

Results
**Calculated formation energy**: -30.93 kcal/mol of atoms

abc: 3.9923 7.9896 8.9199
angles: 102.59 102.93 90.00
Closest atoms and distances in Å follow each position.
Atoms (fractional coordinates):
Pu1 0.8329 0.6659 0.6657  6 P 2.79-2.83
P1 0.3367 0.9162 0.6734  1 U 2.77, 2 Pu 2.82, 3 Tb 2.85-2.87
Tb1 0.1673 0.8318 0.3346  6 P 2.84-2.87
Tb2 0.8327 0.1682 0.6654  6 P 2.84-2.87
U1 0.5000 0.0000 0.0000  6 P 2.77-2.78
P2 0.6682 0.5786 0.3363  3 Pu 2.79, 3 Tb 2.84-2.85
Pu2 0.1671 0.3341 0.3343  6 P 2.79-2.83
P3 0.3318 0.4214 0.6637  3 Pu 2.79, 3 Tb 2.84-2.85
Tb3 0.5000 0.5000 0.0000  6 P 2.85-2.87
P4 0.6633 0.0838 0.3266  1 U 2.77, 2 Pu 2.82, 3 Tb 2.85-2.87
P5 0.9998 0.7573 0.9996  2 U 2.78, 1 Pu 2.83, 3 Tb 2.84-2.87
P6 0.0002 0.2427 0.0004  2 U 2.78, 1 Pu 2.83, 3 Tb 2.84-2.87

What did the second record say?
Entry from Alexandria: an optimized crystal structure of Dy6ErTm3Sc2 (PBE-GGA).

Results
**Calculated formation energy**: 0.85 kcal/mol of atoms

abc: 6.0335 6.0335 11.4850
angles: 95.02 95.02 119.94
Closest atoms and distances in Å follow each position.
Atoms (fractional coordinates):
Dy1 0.9176 0.5820 0.7543  2 Sc 3.42-3.43, 1 Er 3.44, 6 Dy 3.47-3.51, 3 Tm 3.50-3.52
Er1 0.0000 0.0000 0.0000  6 Dy 3.44, 6 Sc 3.48-3.49
Dy2 0.4180 0.0824 0.2457  2 Sc 3.42-3.43, 1 Er 3.44, 6 Dy 3.47-3.51, 3 Tm 3.50-3.52
Tm1 0.5000 0.5000 0.5000  6 Tm 3.48-3.49, 6 Dy 3.50-3.51
Tm2 0.8331 0.1669 0.5000  6 Tm 3.48-3.49, 6 Dy 3.50-3.52
Tm3 0.1669 0.8331 0.5000  6 Tm 3.48-3.49, 6 Dy 3.50-3.52
Dy3 0.5820 0.9176 0.7543  2 Sc 3.42-3.43, 1 Er 3.44, 6 Dy 3.47-3.51, 3 Tm 3.50-3.52
Dy4 0.7469 0.7469 0.2457  2 Sc 3.43, 1 Er 3.44, 6 Dy 3.47-3.51, 3 Tm 3.50-3.51
Sc1 0.6666 0.3334 0.0000  6 Dy 3.42-3.43, 3 Sc 3.48-3.49, 3 Er 3.48-3.49
Dy5 0.2531 0.2531 0.7543  2 Sc 3.43, 1 Er 3.44, 6 Dy 3.47-3.51, 3 Tm 3.50-3.51
Dy6 0.0824 0.4180 0.2457  2 Sc 3.42-3.43, 1 Er 3.44, 6 Dy 3.47-3.51, 3 Tm 3.50-3.52
Sc2 0.3334 0.6666 0.0000  6 Dy 3.42-3.43, 3 Sc 3.48-3.49, 3 Er 3.48-3.49